# 1
# ReB2Sb | Alexandria via LeMat-Bulk | GGA-PBEsol | relaxed
# ρ   8.64 g/cm3
# Formation energy without anion corrections   0.813 eV per atom
# Space group   I-42d, No. 122
data_ReB2Sb
_cell_length_a 5.114
_cell_length_b 5.114
_cell_length_c 6.045
_cell_angle_alpha 115.02
_cell_angle_beta 115.02
_cell_angle_gamma 90.00
_symmetry_space_group_name_H-M 'P 1'
_symmetry_Int_Tables_number 1
loop_
_symmetry_equiv_pos_as_xyz
'x,y,z'
loop_
_atom_site_label
_atom_site_fract_x
_atom_site_fract_y
_atom_site_fract_z
B1 0.625 0.668 0.750
B2 0.332 0.875 0.250
B3 0.918 0.375 0.250
B4 0.125 0.082 0.750
Re1 0.000 0.000 0.000
Re2 0.250 0.750 0.500
Sb1 0.500 0.500 0.000
Sb2 0.750 0.250 0.500

=====

# 2
# ReBSe3 | Alexandria via LeMat-Bulk | GGA-PBEsol | relaxed
# ρ   9.38 g/cm3
# Formation energy without anion corrections   1.137 eV per atom
# Space group   Pm-3m, No. 221
data_ReBSe3
_cell_length_a 4.252
_cell_length_b 4.252
_cell_length_c 4.252
_cell_angle_alpha 90.00
_cell_angle_beta 90.00
_cell_angle_gamma 90.00
_symmetry_space_group_name_H-M 'P 1'
_symmetry_Int_Tables_number 1
loop_
_symmetry_equiv_pos_as_xyz
'x,y,z'
loop_
_atom_site_label
_atom_site_fract_x
_atom_site_fract_y
_atom_site_fract_z
Se1 0.500 0.000 0.000
Se2 0.000 0.500 0.000
Se3 0.000 0.000 0.500
B1 0.000 0.000 0.000
Re1 0.500 0.500 0.500

=====

# 3
# Re3BSe | Alexandria via LeMat-Bulk | GGA-PBEsol | relaxed
# Energy above the lowest structure with this stoichiometry   0.000 eV/atom
# ρ   15.13 g/cm3
# Formation energy without anion corrections   0.819 eV per atom
# Space group   Pm-3m, No. 221
data_Re3BSe
_cell_length_a 4.144
_cell_length_b 4.144
_cell_length_c 4.144
_cell_angle_alpha 90.00
_cell_angle_beta 90.00
_cell_angle_gamma 90.00
_symmetry_space_group_name_H-M 'P 1'
_symmetry_Int_Tables_number 1
loop_
_symmetry_equiv_pos_as_xyz
'x,y,z'
loop_
_atom_site_label
_atom_site_fract_x
_atom_site_fract_y
_atom_site_fract_z
B1 0.000 0.000 0.000
Se1 0.500 0.500 0.500
Re1 0.000 0.500 0.000
Re2 0.000 0.000 0.500
Re3 0.500 0.000 0.000

=====

# 4
# Re2SiB | Alexandria via LeMat-Bulk | GGA-PBEsol | relaxed
# ρ   14.48 g/cm3
# Formation energy without anion corrections   0.178 eV per atom
# Space group   Fm-3m, No. 225
data_Re2SiB
_cell_length_a 4.055
_cell_length_b 4.055
_cell_length_c 4.055
_cell_angle_alpha 60.00
_cell_angle_beta 60.00
_cell_angle_gamma 60.00
_symmetry_space_group_name_H-M 'P 1'
_symmetry_Int_Tables_number 1
loop_
_symmetry_equiv_pos_as_xyz
'x,y,z'
loop_
_atom_site_label
_atom_site_fract_x
_atom_site_fract_y
_atom_site_fract_z
B1 0.000 0.000 0.000
Si1 0.500 0.500 0.500
Re1 0.250 0.250 0.250
Re2 0.750 0.750 0.750

=====

For each record above, in turn, the calculated size of the total moment values are 0.0 0.0 0.0 0.0 μB per formula unit.
For each record above, in turn, the calculated total DFT energy (no corrections) values are -7.167 -5.243 -9.353 -9.679 eV per atom.
For each record above, in turn, the calculated Fermi-level density of states values are 5.326 3.833 4.147 3.129 states/eV per cell.